[1]
An optimized crystal structure of RbZrZn, computed with PBE-GGA.

a = 4.203 Å, b = 5.210 Å, c = 12.134 Å
α = 99.72°, β = 90.83°, γ = 113.75°
Element x y z (fractional)
Rb 0.171 0.371 0.189
Rb 0.829 0.629 0.811
Zr 0.366 0.731 0.518
Zr 0.634 0.269 0.482
Zn 0.074 0.137 0.614
Zn 0.926 0.863 0.386

Calculated values
The calculation puts the volume at 39.79 Å³ per atom. As for the total magnetization: 0.00 μB per atom. As for the formation energy: 257 meV/atom. The energy above the most stable polymorph in this dataset comes out at 0.125 eV/atom.



[2]
An optimized crystal structure of RbZr3Zn, computed with PBE-GGA.

a = 5.028 Å, b = 5.028 Å, c = 5.028 Å
α = 90.00°, β = 90.00°, γ = 90.00°
Element x y z (fractional)
Rb 0.000 0.000 0.000
Zr 0.000 0.000 0.500
Zr 0.000 0.500 0.000
Zr 0.500 0.000 0.000
Zn 0.500 0.500 0.500

Calculated values
The calculation puts the volume at 25.42 Å³ per atom. As for the total magnetization: 0.00 μB per atom. As for the formation energy: 2073 meV/atom. The energy above the most stable polymorph in this dataset comes out at 1.091 eV/atom.



[3]
An optimized crystal structure of RbZrZn, computed with PBE-GGA.

a = 3.550 Å, b = 3.930 Å, c = 13.966 Å
α = 90.00°, β = 91.14°, γ = 90.00°
Element x y z (fractional)
Rb 0.223 0.250 0.160
Rb 0.777 0.750 0.840
Zr 0.245 0.250 0.435
Zr 0.755 0.750 0.565
Zn 0.262 0.250 0.646
Zn 0.738 0.750 0.354

Calculated values
The calculation puts the volume at 32.47 Å³ per atom. As for the total magnetization: 0.00 μB per atom. As for the formation energy: 132 meV/atom. The energy above the most stable polymorph in this dataset comes out at 0.000 eV/atom.